This record from Alexandria via LeMat-Bulk describes a relaxed structure of La2TbPaAs4. The functional is GGA-PBE.

## Properties
energy relative to the elements	-1437	meV per atom

Cell lengths 7.293, 4.233, 7.379 Å; angles 90.00, 109.35, 90.00 degrees
Atoms (fractional coordinates):
La1 0.000 0.000 0.000
La2 0.500 0.500 0.000
Tb1 0.000 0.500 0.500
Pa1 0.500 0.000 0.500
As1 0.250 0.000 0.733
As2 0.260 0.500 0.269
As3 0.740 0.500 0.731
As4 0.750 0.000 0.267

This record from Alexandria via LeMat-Bulk describes a relaxed structure of La4Tb3PaAs8. The functional is GGA-PBE.

## Properties
energy relative to the elements	-1501	meV per atom

Cell lengths 8.505, 8.505, 8.505 Å; angles 59.72, 59.72, 59.72 degrees
Atoms (fractional coordinates):
La1 0.000 0.000 0.000
La2 0.000 0.500 0.500
La3 0.500 0.000 0.500
La4 0.500 0.500 0.000
Tb1 0.000 0.000 0.500
Tb2 0.000 0.500 0.000
Tb3 0.500 0.000 0.000
Pa1 0.500 0.500 0.500
As1 0.246 0.246 0.246
As2 0.250 0.742 0.742
As3 0.258 0.258 0.750
As4 0.258 0.750 0.258
As5 0.742 0.250 0.742
As6 0.742 0.742 0.250
As7 0.750 0.258 0.258
As8 0.754 0.754 0.754